A plane-wave DFT calculation with PBE+U was carried out for crystalline In2NiMoF at its relaxed geometry.

Cell and atoms, written as CIF:
```
data_In2NiMoF
_chemical_formula_sum 'In2 Ni1 Mo1 F1'
_cell_length_a 5.406
_cell_length_b 5.406
_cell_length_c 3.588
_cell_angle_alpha 90.00
_cell_angle_beta 90.00
_cell_angle_gamma 90.00
_space_group_name_H-M_alt 'P 4/m m m'
_space_group_IT_number 123
_space_group_name_Hall '-P 4 2'
loop_
_atom_site_label
_atom_site_type_symbol
_atom_site_fract_x
_atom_site_fract_y
_atom_site_fract_z
In1 In 0.000 0.500 0.000
Ni1 Ni 0.000 0.000 0.000
Mo1 Mo 0.500 0.500 0.500
F1 F 0.000 0.000 0.500
```

raw total energy: -16.376 eV per cell
mass density: 6.4 g/cm³
total magnetic moment: 4.274 Bohr magnetons per cell